{
  "formula": "TaZnMoO6",
  "functional": "PBE+U",
  "state": "optimized geometry",
  "lattice": [[-2.519, 1.084, -4.424], [4.080, -3.232, -0.053], [-5.578, -7.066, 1.445]],
  "species": ["O", "O", "O", "O", "O", "O", "O", "O", "O", "O", "O", "O", "Zn", "Zn", "Ta", "Ta", "Mo", "Mo"],
  "fractional_positions": [[0.000, 0.350, 0.632], [0.650, 0.000, 0.868], [0.350, 0.000, 0.132], [0.350, 0.350, 0.868], [0.650, 0.000, 0.368], [0.350, 0.350, 0.368], [0.650, 0.650, 0.632], [0.000, 0.650, 0.368], [0.000, 0.350, 0.132], [0.650, 0.650, 0.132], [0.350, 0.000, 0.632], [0.000, 0.650, 0.868], [0.000, 0.000, 0.500], [0.000, 0.000, 0.000], [0.667, 0.333, 0.250], [0.333, 0.667, 0.750], [0.333, 0.667, 0.250], [0.667, 0.333, 0.750]],
  "space_group": "P-31c",
  "final_energy_ev_per_atom": -7.475
}